[1]
CeHf2Zr, optimized geometry, DFT PBE; total magnetic moment = 0.00 μB per atom; E above lowest polymorph = 53.6 meV per atom; energy relative to the elements = 0.143 eV/atom
1.0
4.599 0.000 0.000
0.000 4.563 0.000
0.000 0.000 4.563
Ce Zr Hf
1 1 2
direct
0.500 0.500 0.500 Ce
0.500 0.000 0.000 Zr
0.000 0.000 0.500 Hf
0.000 0.500 0.000 Hf

[2]
CeHf2Zr6, optimized geometry, DFT PBE; total magnetic moment = 0.00 μB per atom; energy relative to the elements = 0.050 eV/atom
1.0
3.212 0.000 0.000
-1.606 2.782 0.000
0.000 0.000 23.875
Hf Zr Ce
2 6 1
direct
0.333 0.667 0.334 Hf
0.333 0.667 0.666 Hf
0.667 0.333 0.773 Zr
0.667 0.333 0.438 Zr
0.333 0.667 0.883 Zr
0.667 0.333 0.227 Zr
0.667 0.333 0.562 Zr
0.333 0.667 0.117 Zr
0.667 0.333 0.000 Ce

[3]
CeHfZr2, optimized geometry, DFT PBE; total magnetic moment = 0.00 μB per atom; E above lowest polymorph = 0.0 meV per atom; energy relative to the elements = 0.052 eV/atom
1.0
-2.396 1.947 0.623
-1.951 -2.465 0.200
1.881 -0.719 9.490
Zr Hf Ce
2 1 1
direct
0.000 0.000 0.233 Zr
0.000 0.000 0.767 Zr
0.500 0.500 0.000 Hf
0.500 0.500 0.500 Ce

[4]
CeHf2Zr, optimized geometry, DFT PBE; total magnetic moment = 0.00 μB per atom; E above lowest polymorph = 103.6 meV per atom; energy relative to the elements = 0.193 eV/atom
1.0
5.111 0.000 0.000
2.555 4.426 0.000
2.555 1.475 4.173
Ce Hf Zr
1 2 1
direct
0.000 0.000 0.000 Ce
0.750 0.750 0.750 Hf
0.250 0.250 0.250 Hf
0.500 0.500 0.500 Zr

[5]
CeHfZr2, optimized geometry, DFT PBE; total magnetic moment = 0.00 μB per atom; E above lowest polymorph = 116.2 meV per atom; energy relative to the elements = 0.168 eV/atom
1.0
-4.811 1.402 -1.111
-3.597 -3.575 -0.793
-3.736 -0.691 3.451
Hf Zr Ce
1 2 1
direct
0.000 0.000 0.000 Hf
0.250 0.250 0.250 Zr
0.750 0.750 0.750 Zr
0.500 0.500 0.500 Ce

[6]
Ce5Hg, optimized geometry, DFT PBE; total magnetic moment = 0.00 μB per atom; E above lowest polymorph = 0.0 meV per atom; energy relative to the elements = -0.064 eV/atom
1.0
4.398 -0.002 -0.002
-2.201 5.243 -1.347
-0.002 -0.456 6.851
Hg Ce
1 5
direct
0.694 0.389 0.889 Hg
0.365 0.729 0.248 Ce
0.024 0.049 0.530 Ce
0.694 0.389 0.389 Ce
0.378 0.757 0.754 Ce
0.011 0.021 0.023 Ce

[7]
Ce2Hg3, optimized geometry, DFT PBE; total magnetic moment = 0.57 μB per atom; E above lowest polymorph = 0.0 meV per atom; energy relative to the elements = -0.118 eV/atom
1.0
6.281 0.000 0.000
0.000 7.224 0.000
-3.140 -3.612 6.467
Ce Hg
4 6
direct
0.835 0.583 0.670 Ce
0.165 0.417 0.330 Ce
0.665 0.913 0.330 Ce
0.335 0.087 0.670 Ce
0.092 0.754 0.185 Hg
0.592 0.431 0.185 Hg
0.750 0.000 0.000 Hg
0.408 0.569 0.815 Hg
0.250 0.000 0.000 Hg
0.908 0.246 0.815 Hg

[8]
CeHg4, optimized geometry, DFT PBE; total magnetic moment = 0.21 μB per atom; E above lowest polymorph = 0.0 meV per atom; energy relative to the elements = -0.209 eV/atom
1.0
-0.613 0.287 5.122
-4.732 -0.008 2.041
-1.680 -5.449 2.711
Hg Ce
4 1
direct
0.214 0.212 0.360 Hg
0.592 0.589 0.227 Hg
0.408 0.411 0.773 Hg
0.786 0.788 0.640 Hg
0.000 0.000 0.000 Ce

[9]
CeHg6, optimized geometry, DFT PBE; total magnetic moment = 0.29 μB per atom; E above lowest polymorph = 530.2 meV per atom; energy relative to the elements = 0.364 eV/atom
1.0
-4.528 1.232 4.997
3.724 -5.528 1.603
4.142 5.416 -0.717
Hg Ce
6 1
direct
0.750 0.500 0.250 Hg
0.500 0.250 0.750 Hg
0.250 0.500 0.750 Hg
0.500 0.750 0.250 Hg
0.750 0.250 0.500 Hg
0.250 0.750 0.500 Hg
0.000 0.000 0.000 Ce

[10]
Ce5Hg, optimized geometry, DFT PBE; total magnetic moment = 0.00 μB per atom; E above lowest polymorph = 19.8 meV per atom; energy relative to the elements = -0.044 eV/atom
1.0
3.277 0.000 0.000
0.000 5.546 0.000
0.000 -2.773 8.510
Ce Hg
5 1
direct
0.500 0.168 0.335 Ce
0.000 0.655 0.310 Ce
0.500 0.832 0.665 Ce
0.000 0.345 0.690 Ce
0.500 0.500 0.000 Ce
0.000 0.000 0.000 Hg

[11]
Ce3Hg, optimized geometry, DFT PBE; total magnetic moment = 0.60 μB per atom; energy relative to the elements = -0.096 eV/atom
1.0
-5.860 0.016 0.168
-2.237 -1.804 -5.110
4.072 -2.247 3.570
Ce Hg
3 1
direct
0.750 0.250 0.500 Ce
0.250 0.750 0.500 Ce
0.500 0.500 0.000 Ce
0.000 0.000 0.000 Hg

[12]
CeHg4, optimized geometry, DFT PBE; total magnetic moment = 0.26 μB per atom; E above lowest polymorph = 115.5 meV per atom; energy relative to the elements = -0.093 eV/atom
1.0
4.489 0.021 0.000
-0.024 4.489 0.000
-2.232 -2.255 6.632
Hg Ce
4 1
direct
0.895 0.395 0.289 Hg
0.105 0.605 0.711 Hg
0.750 0.750 0.000 Hg
0.250 0.250 0.000 Hg
0.500 0.000 0.500 Ce

Q: total magnetic moment of number 12 (CeHg4)?
A: 0.26 μB per atom

Copy entry 11 word for word.
Ce3Hg, optimized geometry, DFT PBE; total magnetic moment = 0.60 μB per atom; energy relative to the elements = -0.096 eV/atom
1.0
-5.860 0.016 0.168
-2.237 -1.804 -5.110
4.072 -2.247 3.570
Ce Hg
3 1
direct
0.750 0.250 0.500 Ce
0.250 0.750 0.500 Ce
0.500 0.500 0.000 Ce
0.000 0.000 0.000 Hg

Q: total magnetic moment of number 9 (CeHg6)?
A: 0.29 μB per atom